a) ! Al2Pt2W, optimized geometry, DFT PBE-GGA; values from VASP
! Magnetization (μB per formula unit): 0.000
! Theoretical density (Mg/m³): 13.61
&SYSTEM
  ibrav = 0, nat = 10, ntyp = 3
/
ATOMIC_SPECIES
Al 26.98 Al.upf
Pt 195.08 Pt.upf
W 183.84 W.upf
CELL_PARAMETERS angstrom
7.4502 0.0000 0.0000
0.0000 7.4502 0.0000
0.0000 0.0000 2.7612
ATOMIC_POSITIONS angstrom
Al 1.2156 2.5095 0.0000
Al 2.5095 6.2346 0.0000
Al 4.9407 1.2156 0.0000
Al 6.2346 4.9407 0.0000
Pt 1.0106 4.7357 1.3806
Pt 2.7146 1.0106 1.3806
Pt 4.7357 6.4397 1.3806
Pt 6.4397 2.7146 1.3806
W 0.0000 0.0000 1.3806
W 3.7251 3.7251 1.3806

b) ! Al2Pt2W, optimized geometry, DFT PBE-GGA; values from VASP
! Magnetization (μB per formula unit): 0.000
! Theoretical density (Mg/m³): 13.82
&SYSTEM
  ibrav = 0, nat = 10, ntyp = 3
/
ATOMIC_SPECIES
Al 26.98 Al.upf
Pt 195.08 Pt.upf
W 183.84 W.upf
CELL_PARAMETERS angstrom
7.3900 0.0000 0.0000
0.0000 7.3900 0.0000
0.0000 0.0000 2.7626
ATOMIC_POSITIONS angstrom
Al 1.0450 2.6500 0.0000
Al 2.6500 6.3450 0.0000
Al 4.7400 1.0450 0.0000
Al 6.3450 4.7400 0.0000
Pt 1.1615 4.8565 1.3813
Pt 2.5335 1.1615 1.3813
Pt 4.8565 6.2286 1.3813
Pt 6.2286 2.5335 1.3813
W 0.0000 0.0000 0.0000
W 3.6950 3.6950 0.0000

Which one sits at the top of the stability order? b) does.

a) ! YAlPt3, optimized geometry, DFT PBE-GGA; values from VASP
! Magnetization (μB per formula unit): 0.000
! Theoretical density (Mg/m³): 11.65
&SYSTEM
  ibrav = 0, nat = 10, ntyp = 3
/
ATOMIC_SPECIES
Y 88.91 Y.upf
Al 26.98 Al.upf
Pt 195.08 Pt.upf
CELL_PARAMETERS angstrom
6.2134 0.0000 0.0000
0.0000 6.2851 0.0000
0.0000 0.0000 5.1173
ATOMIC_POSITIONS angstrom
Y 0.0000 0.0000 0.0000
Y 3.1067 3.1425 0.0000
Al 0.0000 3.1425 2.5587
Al 3.1067 0.0000 2.5587
Pt 0.0000 3.1425 0.0000
Pt 0.9255 0.9519 2.5587
Pt 2.1812 4.0944 2.5587
Pt 3.1067 0.0000 0.0000
Pt 4.0322 2.1906 2.5587
Pt 5.2879 5.3332 2.5587

b) ! YAlPt3, optimized geometry, DFT PBE-GGA; values from VASP
! Magnetization (μB per formula unit): 0.000
! Theoretical density (Mg/m³): 11.65
&SYSTEM
  ibrav = 0, nat = 5, ntyp = 3
/
ATOMIC_SPECIES
Y 88.91 Y.upf
Al 26.98 Al.upf
Pt 195.08 Pt.upf
CELL_PARAMETERS angstrom
4.6411 0.0000 0.0000
0.0000 4.6411 0.0000
0.0000 0.0000 4.6411
ATOMIC_POSITIONS angstrom
Y 0.0000 0.0000 0.0000
Al 2.3206 2.3206 2.3206
Pt 0.0000 2.3206 2.3206
Pt 2.3206 0.0000 2.3206
Pt 2.3206 2.3206 0.0000

Which one sits at the top of the stability order? a) does.

a) ! Al2ZnPt2, optimized geometry, DFT PBE-GGA; values from VASP
! Magnetization (μB per formula unit): 0.000
! Theoretical density (Mg/m³): 10.33
&SYSTEM
  ibrav = 0, nat = 5, ntyp = 3
/
ATOMIC_SPECIES
Al 26.98 Al.upf
Zn 65.41 Zn.upf
Pt 195.08 Pt.upf
CELL_PARAMETERS angstrom
4.2423 0.0000 0.0000
-2.1212 3.6740 0.0000
0.0000 0.0000 5.2557
ATOMIC_POSITIONS angstrom
Al 0.0000 2.4493 1.8267
Al 2.1212 1.2247 3.4290
Zn 0.0000 0.0000 0.0000
Pt 0.0000 2.4493 4.3258
Pt 2.1212 1.2247 0.9299

b) ! Al2ZnPt2, optimized geometry, DFT PBE-GGA; values from VASP
! Magnetization (μB per formula unit): 0.000
! Theoretical density (Mg/m³): 10.03
&SYSTEM
  ibrav = 0, nat = 5, ntyp = 3
/
ATOMIC_SPECIES
Al 26.98 Al.upf
Zn 65.41 Zn.upf
Pt 195.08 Pt.upf
CELL_PARAMETERS angstrom
-1.8870 1.8870 5.9217
1.8870 -1.8870 5.9217
1.8870 1.8870 -5.9217
ATOMIC_POSITIONS angstrom
Al 1.8870 0.0000 2.9608
Al 0.0000 1.8870 2.9608
Zn 0.0000 0.0000 0.0000
Pt 0.0000 0.0000 4.5928
Pt 0.0000 0.0000 7.2505

Which one sits at the top of the stability order? a) does.